Entry 1:
Here is an optimized crystal structure of K2Na2Ga from the Alexandria database. Energies are from PBE.

Cell and atoms, written as CIF:
```
data_K2Na2Ga
_cell_length_a 4.4979
_cell_length_b 4.4979
_cell_length_c 21.8073
_cell_angle_alpha 90.00
_cell_angle_beta 90.00
_cell_angle_gamma 90.00
_symmetry_space_group_name_H-M 'I 4/m m m'
_symmetry_Int_Tables_number 139
_symmetry_space_group_name_Hall '-I 4 2'
loop_
_atom_site_label
_atom_site_type_symbol
_atom_site_fract_x
_atom_site_fract_y
_atom_site_fract_z
K1 K 0.0000 0.0000 0.0890
Na1 Na 0.0000 0.5000 0.2500
Ga1 Ga 0.0000 0.0000 0.5000
```

Computed properties:
The value obtained for the magnetization is 0.00 μB per formula unit. Its final energy is -1.392 eV/atom.

Entry 2:
Here is an optimized crystal structure of KNa3Ga from the Alexandria database. Energies are from PBE.

Cell and atoms, written as CIF:
```
data_KNa3Ga
_cell_length_a 5.8842
_cell_length_b 5.8842
_cell_length_c 5.8842
_cell_angle_alpha 90.00
_cell_angle_beta 90.00
_cell_angle_gamma 90.00
_symmetry_space_group_name_H-M 'P m -3 m'
_symmetry_Int_Tables_number 221
_symmetry_space_group_name_Hall '-P 4 2 3'
loop_
_atom_site_label
_atom_site_type_symbol
_atom_site_fract_x
_atom_site_fract_y
_atom_site_fract_z
K1 K 0.0000 0.0000 0.0000
Na1 Na 0.0000 0.5000 0.5000
Ga1 Ga 0.5000 0.5000 0.5000
```

Computed properties:
The value obtained for the magnetization is 0.00 μB per formula unit. Its final energy is -1.548 eV/atom.

Entry 3:
Here is an optimized crystal structure of KNa4GaO4 from the Alexandria database. Energies are from PBE.

Cell and atoms, written as CIF:
```
data_KNa4GaO4
_cell_length_a 6.0381
_cell_length_b 18.8952
_cell_length_c 10.6616
_cell_angle_alpha 90.00
_cell_angle_beta 90.00
_cell_angle_gamma 90.00
_symmetry_space_group_name_H-M 'P b c a'
_symmetry_Int_Tables_number 61
_symmetry_space_group_name_Hall '-P 2ac 2ab'
loop_
_atom_site_label
_atom_site_type_symbol
_atom_site_fract_x
_atom_site_fract_y
_atom_site_fract_z
K1 K 0.0905 0.0024 0.1579
Na1 Na 0.0610 0.7469 0.0705
Na2 Na 0.0772 0.6775 0.3235
Na3 Na 0.0955 0.0668 0.4453
Na4 Na 0.1104 0.1469 0.6947
Ga1 Ga 0.1995 0.1282 0.9630
O1 O 0.1126 0.6260 0.5355
O2 O 0.1658 0.5494 0.8857
O3 O 0.2021 0.6360 0.1323
O4 O 0.2090 0.7095 0.8708
```

Computed properties:
The value obtained for the magnetization is 0.14 μB per formula unit. Its final energy is -4.459 eV/atom.

Entry 4:
Here is an optimized crystal structure of KNa2GaO from the Alexandria database. Energies are from PBE.

Cell and atoms, written as CIF:
```
data_KNa2GaO
_cell_length_a 5.4667
_cell_length_b 5.4667
_cell_length_c 6.2939
_cell_angle_alpha 90.00
_cell_angle_beta 90.00
_cell_angle_gamma 90.00
_symmetry_space_group_name_H-M 'P 4/m m m'
_symmetry_Int_Tables_number 123
_symmetry_space_group_name_Hall '-P 4 2'
loop_
_atom_site_label
_atom_site_type_symbol
_atom_site_fract_x
_atom_site_fract_y
_atom_site_fract_z
K1 K 0.0000 0.0000 0.0000
Na1 Na 0.0000 0.5000 0.5000
Ga1 Ga 0.0000 0.0000 0.5000
O1 O 0.5000 0.5000 0.0000
```

Computed properties:
The value obtained for the magnetization is 0.04 μB per formula unit. Its final energy is -1.878 eV/atom.